DFT (PBE) results for a relaxed Tl4In3Pb crystal.

abc: 5.4804 5.4999 8.7607
angles: 107.61 108.23 90.00
With the nearest neighbours (Å) after each atom.
Sites, in units of the cell vectors:
Pb 0.5000 0.0000 0.0000  4 In 3.34, 4 Tl 3.35-3.37
Tl 0.7491 0.2485 0.4983  4 Tl 3.37-3.43, 4 In 3.40-3.45
Tl 0.2509 0.7515 0.5017  4 Tl 3.37-3.43, 4 In 3.40-3.45
Tl 0.3775 0.3795 0.7550  2 Pb 3.35-3.37, 2 In 3.35, 4 Tl 3.37-3.43
Tl 0.6225 0.6205 0.2450  2 Pb 3.35-3.37, 2 In 3.35, 4 Tl 3.37-3.43
In 0.0000 0.5000 0.0000  4 In 3.33-3.37, 4 Tl 3.35
In 0.8786 0.8785 0.7573  2 In 3.33-3.37, 2 Pb 3.34, 4 Tl 3.40-3.45
In 0.1214 0.1215 0.2427  2 In 3.33-3.37, 2 Pb 3.34, 4 Tl 3.40-3.45

Calculated values
total magnetic moment: 0.00 μB/f.u.
mass density: 9.56 Mg/m³
space-group type: C2/m (12)
ΔE_f: 0.02 eV/atom

=====

DFT (PBE) results for a relaxed Hf2NpPa crystal.

abc: 3.1391 3.1391 11.0081
angles: 81.80 81.80 60.00
With the nearest neighbours (Å) after each atom.
Sites, in units of the cell vectors:
Np 0.0000 0.0000 0.0000  6 Np 3.14, 6 Hf 3.22
Pa 0.5000 0.5000 0.5000  6 Pa 3.14, 6 Hf 3.31
Hf 0.2516 0.2516 0.2453  6 Hf 3.14, 3 Np 3.22, 3 Pa 3.31
Hf 0.7484 0.7484 0.7547  6 Hf 3.14, 3 Np 3.22, 3 Pa 3.31

Calculated values
total magnetic moment: 3.32 μB/f.u.
mass density: 14.79 Mg/m³
space-group type: R-3m (166)
ΔE_f: 0.28 eV/atom

=====

DFT (PBE) results for a relaxed LaNd2Co crystal.

abc: 3.7479 3.7479 10.7639
angles: 79.97 79.97 60.00
With the nearest neighbours (Å) after each atom.
Sites, in units of the cell vectors:
Co 0.5000 0.5000 0.5000  6 Nd 2.72
Nd 0.1146 0.1146 0.6563  3 Co 2.72
Nd 0.8854 0.8854 0.3437  3 Co 2.72
La 0.0000 0.0000 0.0000  2 Nd 3.62, 6 La 3.75

Calculated values
total magnetic moment: 0.42 μB/f.u.
mass density: 6.30 Mg/m³
space-group type: R-3m (166)
ΔE_f: 0.17 eV/atom

=====

DFT (PBE) results for a relaxed Tb5Pm5Th2 crystal.

abc: 6.2263 8.0539 10.8112
angles: 98.46 54.78 75.08
With the nearest neighbours (Å) after each atom.
Sites, in units of the cell vectors:
Tb 0.0000 0.5000 0.5000  6 Pm 3.57-3.60, 4 Tb 3.62-3.64, 2 Th 3.64
Tb 0.6701 0.7455 0.9175  5 Pm 3.53-3.63, 3 Th 3.54-3.63, 4 Tb 3.59-3.67
Tb 0.3354 0.9954 0.3314  1 Th 3.56, 4 Tb 3.59-3.65, 7 Pm 3.60-3.68
Tb 0.6646 0.0046 0.6686  1 Th 3.56, 4 Tb 3.59-3.65, 7 Pm 3.60-3.68
Tb 0.3299 0.2545 0.0825  5 Pm 3.53-3.63, 3 Th 3.54-3.63, 4 Tb 3.59-3.67
Pm 0.6643 0.2560 0.4182  4 Pm 3.52-3.70, 6 Tb 3.57-3.65, 2 Th 3.60
Pm 0.9966 0.2561 0.7540  6 Tb 3.53-3.68, 3 Th 3.54-3.61, 3 Pm 3.60-3.70
Pm 0.0034 0.7439 0.2460  6 Tb 3.53-3.68, 3 Th 3.54-3.61, 3 Pm 3.60-3.70
Pm 0.3357 0.7440 0.5818  4 Pm 3.52-3.70, 6 Tb 3.57-3.65, 2 Th 3.60
Pm 0.0000 0.0000 0.0000  6 Tb 3.60-3.63, 4 Pm 3.60-3.63, 2 Th 3.62
Th 0.3270 0.4984 0.8362  1 Th 3.52, 6 Pm 3.54-3.62, 5 Tb 3.54-3.64
Th 0.6730 0.5016 0.1638  1 Th 3.52, 6 Pm 3.54-3.62, 5 Tb 3.54-3.64

Calculated values
total magnetic moment: 0.00 μB/f.u.
mass density: 8.30 Mg/m³
space-group type: P-1 (2)
ΔE_f: 0.03 eV/atom

=====

DFT (PBE) results for a relaxed GaOsW crystal.

abc: 3.8803 7.7605 6.3645
angles: 89.79 90.00 90.00
With the nearest neighbours (Å) after each atom.
Sites, in units of the cell vectors:
W 0.2500 0.6260 0.7040  5 Ga 2.61-2.74, 4 Os 2.70
W 0.7500 0.8740 0.2960  5 Ga 2.61-2.74, 4 Os 2.70
W 0.7500 0.3740 0.2960  5 Ga 2.61-2.74, 4 Os 2.70
W 0.2500 0.1260 0.7040  5 Ga 2.61-2.74, 4 Os 2.70
Os 0.2500 0.8750 0.0000  4 Ga 2.69, 4 W 2.70, 4 Os 2.74
Os 0.7500 0.6250 0.0000  4 Ga 2.69, 4 W 2.70, 4 Os 2.74
Os 0.7500 0.1250 0.0000  4 Ga 2.69, 4 W 2.70, 4 Os 2.74
Os 0.2500 0.3750 0.0000  4 Ga 2.69, 4 W 2.70, 4 Os 2.74
Ga 0.2500 0.6240 0.2935  5 W 2.61-2.74, 4 Os 2.69
Ga 0.7500 0.8760 0.7065  5 W 2.61-2.74, 4 Os 2.69
Ga 0.7500 0.3760 0.7065  5 W 2.61-2.74, 4 Os 2.69
Ga 0.2500 0.1240 0.2935  5 W 2.61-2.74, 4 Os 2.69

Calculated values
total magnetic moment: 0.00 μB/f.u.
mass density: 15.38 Mg/m³
space-group type: P2_1/m (11)
ΔE_f: 0.26 eV/atom

=====

DFT (PBE) results for a relaxed Zn5Ga12Si3 crystal.

abc: 12.9549 12.9549 12.9549
angles: 109.47 109.47 109.47
With the nearest neighbours (Å) after each atom.
Sites, in units of the cell vectors:
Si 0.7500 0.3750 0.1250  4 Ga 2.57
Si 0.8750 0.7500 0.1250  4 Ga 2.57
Si 0.3750 0.7500 0.6250  4 Ga 2.57
Si 0.2500 0.1250 0.3750  4 Ga 2.57
Si 0.8750 0.1250 0.2500  4 Ga 2.57
Si 0.3750 0.6250 0.2500  4 Ga 2.57
Si 0.6250 0.3750 0.7500  4 Ga 2.57
Si 0.1250 0.8750 0.7500  4 Ga 2.57
Si 0.7500 0.8750 0.6250  4 Ga 2.57
Si 0.6250 0.2500 0.3750  4 Ga 2.57
Si 0.1250 0.2500 0.8750  4 Ga 2.57
Si 0.2500 0.6250 0.8750  4 Ga 2.57
Zn 0.1250 0.3750 0.2500  4 Ga 2.49
Zn 0.0000 0.5000 0.0000  6 Ga 2.57
Zn 0.0000 0.0000 0.0000  6 Ga 2.57
Zn 0.3750 0.2500 0.1250  4 Ga 2.49
Zn 0.5000 0.0000 0.5000  6 Ga 2.57
Zn 0.5000 0.5000 0.0000  6 Ga 2.57
Zn 0.1250 0.7500 0.3750  4 Ga 2.49
Zn 0.7500 0.1250 0.8750  4 Ga 2.49
Zn 0.7500 0.6250 0.3750  4 Ga 2.49
Zn 0.3750 0.1250 0.7500  4 Ga 2.49
Zn 0.6250 0.8750 0.2500  4 Ga 2.49
Zn 0.5000 0.5000 0.5000  6 Ga 2.57
Zn 0.5000 0.0000 0.0000  6 Ga 2.57
Zn 0.0000 0.0000 0.5000  6 Ga 2.57
Zn 0.2500 0.3750 0.6250  4 Ga 2.49
Zn 0.2500 0.8750 0.1250  4 Ga 2.49
Zn 0.0000 0.5000 0.5000  6 Ga 2.57
Zn 0.8750 0.2500 0.6250  4 Ga 2.49
Zn 0.6250 0.7500 0.8750  4 Ga 2.49
Zn 0.8750 0.6250 0.7500  4 Ga 2.49
Ga 0.7316 0.1317 0.0621  2 Zn 2.49-2.57, 1 Si 2.57
Ga 0.3306 0.5621 0.4304  2 Zn 2.49-2.57, 1 Si 2.57
Ga 0.9379 0.3683 0.2684  2 Zn 2.49-2.57, 1 Si 2.57
Ga 0.5621 0.2316 0.1317  2 Zn 2.49-2.57, 1 Si 2.57
Ga 0.5998 0.7316 0.6694  2 Zn 2.49-2.57, 1 Si 2.57
Ga 0.9379 0.5696 0.1694  2 Zn 2.49-2.57, 1 Si 2.57
Ga 0.3306 0.7684 0.4002  2 Zn 2.49-2.57, 1 Si 2.57
Ga 0.0696 0.9002 0.1317  2 Zn 2.49-2.57, 1 Si 2.57
Ga 0.5696 0.9379 0.6694  2 Zn 2.49-2.57, 1 Si 2.57
Ga 0.7316 0.5998 0.1694  2 Zn 2.49-2.57, 1 Si 2.57
Ga 0.7684 0.4379 0.3683  2 Zn 2.49-2.57, 1 Si 2.57
Ga 0.8306 0.9304 0.0621  2 Zn 2.49-2.57, 1 Si 2.57
Ga 0.1317 0.7316 0.5621  2 Zn 2.49-2.57, 1 Si 2.57
Ga 0.3683 0.4304 0.0998  2 Zn 2.49-2.57, 1 Si 2.57
Ga 0.0998 0.9304 0.3683  2 Zn 2.49-2.57, 1 Si 2.57
Ga 0.4002 0.1317 0.5696  2 Zn 2.49-2.57, 1 Si 2.57
Ga 0.0998 0.1694 0.2316  2 Zn 2.49-2.57, 1 Si 2.57
Ga 0.4379 0.6694 0.0696  2 Zn 2.49-2.57, 1 Si 2.57
Ga 0.8306 0.9002 0.2684  2 Zn 2.49-2.57, 1 Si 2.57
Ga 0.1317 0.4002 0.0696  2 Zn 2.49-2.57, 1 Si 2.57
Ga 0.3683 0.9379 0.7684  2 Zn 2.49-2.57, 1 Si 2.57
Ga 0.5696 0.6317 0.4002  2 Zn 2.49-2.57, 1 Si 2.57
Ga 0.9304 0.8306 0.5621  2 Zn 2.49-2.57, 1 Si 2.57
Ga 0.7684 0.3306 0.9002  2 Zn 2.49-2.57, 1 Si 2.57
Ga 0.4304 0.3683 0.5998  2 Zn 2.49-2.57, 1 Si 2.57
Ga 0.0696 0.1694 0.4379  2 Zn 2.49-2.57, 1 Si 2.57
Ga 0.2316 0.6694 0.0998  2 Zn 2.49-2.57, 1 Si 2.57
Ga 0.1694 0.0998 0.7316  2 Zn 2.49-2.57, 1 Si 2.57
Ga 0.6317 0.0621 0.2316  2 Zn 2.49-2.57, 1 Si 2.57
Ga 0.8683 0.5998 0.9304  2 Zn 2.49-2.57, 1 Si 2.57
Ga 0.5621 0.3306 0.9304  2 Zn 2.49-2.57, 1 Si 2.57
Ga 0.5998 0.8683 0.4304  2 Zn 2.49-2.57, 1 Si 2.57
Ga 0.9002 0.8306 0.7684  2 Zn 2.49-2.57, 1 Si 2.57
Ga 0.9002 0.0696 0.6317  2 Zn 2.49-2.57, 1 Si 2.57
Ga 0.8683 0.2684 0.4379  2 Zn 2.49-2.57, 1 Si 2.57
Ga 0.1694 0.0696 0.9379  2 Zn 2.49-2.57, 1 Si 2.57
Ga 0.6317 0.5696 0.9002  2 Zn 2.49-2.57, 1 Si 2.57
Ga 0.4304 0.0621 0.3306  2 Zn 2.49-2.57, 1 Si 2.57
Ga 0.2684 0.4002 0.8306  2 Zn 2.49-2.57, 1 Si 2.57
Ga 0.2316 0.5621 0.6317  2 Zn 2.49-2.57, 1 Si 2.57
Ga 0.9304 0.0998 0.8683  2 Zn 2.49-2.57, 1 Si 2.57
Ga 0.6694 0.2316 0.5998  2 Zn 2.49-2.57, 1 Si 2.57
Ga 0.4379 0.7684 0.8683  2 Zn 2.49-2.57, 1 Si 2.57
Ga 0.0621 0.4304 0.8306  2 Zn 2.49-2.57, 1 Si 2.57
Ga 0.4002 0.2684 0.3306  2 Zn 2.49-2.57, 1 Si 2.57
Ga 0.0621 0.6317 0.7316  2 Zn 2.49-2.57, 1 Si 2.57
Ga 0.6694 0.4379 0.5696  2 Zn 2.49-2.57, 1 Si 2.57
Ga 0.2684 0.8683 0.9379  2 Zn 2.49-2.57, 1 Si 2.57

Calculated values
total magnetic moment: 0.00 μB/f.u.
mass density: 4.95 Mg/m³
space-group type: Ia-3d (230)
ΔE_f (raw): 0.191 eV/atom

=====

DFT (PBE) results for a relaxed RbCa3Ge crystal.

abc: 5.9736 5.9736 5.9736
angles: 90.00 90.00 90.00
With the nearest neighbours (Å) after each atom.
Sites, in units of the cell vectors:
Ge 0.0000 0.0000 0.0000  6 Ca 2.99
Ca 0.0000 0.5000 0.0000  2 Ge 2.99
Ca 0.0000 0.0000 0.5000  2 Ge 2.99
Ca 0.5000 0.0000 0.0000  2 Ge 2.99
Rb 0.5000 0.5000 0.5000  12 Ca 4.22

Calculated values
total magnetic moment: 0.78 μB/f.u.
mass density: 2.17 Mg/m³
space-group type: Pm-3m (221)
ΔE_f: -0.13 eV/atom

=====

DFT (PBE) results for a relaxed Y3Ge13Pt4 crystal.

abc: 9.1194 9.1194 9.1194
angles: 89.80 89.80 89.80
With the nearest neighbours (Å) after each atom.
Sites, in units of the cell vectors:
Y 0.5008 0.7485 0.2486  10 Ge 3.05-3.35, 4 Pt 3.19-3.26
Y 0.2486 0.5008 0.7485  10 Ge 3.05-3.35, 4 Pt 3.19-3.26
Y 0.7485 0.2486 0.5008  10 Ge 3.05-3.35, 4 Pt 3.19-3.26
Y 0.7486 0.2485 0.0008  10 Ge 3.05-3.35, 4 Pt 3.19-3.26
Y 0.0008 0.7486 0.2485  10 Ge 3.05-3.35, 4 Pt 3.19-3.26
Y 0.2485 0.0008 0.7486  10 Ge 3.05-3.35, 4 Pt 3.19-3.26
Ge 0.7457 0.7457 0.7457  6 Ge 2.55-2.75
Ge 0.2457 0.2457 0.2457  6 Ge 2.55-2.75
Ge 0.0965 0.7479 0.9160  2 Pt 2.56, 2 Ge 2.66-2.70
Ge 0.9160 0.0965 0.7479  2 Pt 2.56, 2 Ge 2.66-2.70
Ge 0.7479 0.9160 0.0965  2 Pt 2.56, 2 Ge 2.66-2.70
Ge 0.4160 0.2479 0.5965  2 Pt 2.56, 2 Ge 2.66-2.70
Ge 0.5965 0.4160 0.2479  2 Pt 2.56, 2 Ge 2.66-2.70
Ge 0.2479 0.5965 0.4160  2 Pt 2.56, 2 Ge 2.66-2.70
Ge 0.7486 0.6301 0.4679  2 Pt 2.60-2.61, 2 Ge 2.75
Ge 0.4679 0.7486 0.6301  2 Pt 2.60-2.61, 2 Ge 2.75
Ge 0.6301 0.4679 0.7486  2 Pt 2.60-2.61, 2 Ge 2.75
Ge 0.9679 0.1301 0.2486  2 Pt 2.60-2.61, 2 Ge 2.74-2.75
Ge 0.2486 0.9679 0.1301  2 Pt 2.60-2.61, 2 Ge 2.74-2.75
Ge 0.1301 0.2486 0.9679  2 Pt 2.60-2.61, 2 Ge 2.74-2.75
Ge 0.7513 0.9218 0.3928  2 Pt 2.55-2.60, 2 Ge 2.70-2.75
Ge 0.3928 0.7513 0.9218  2 Pt 2.55-2.60, 2 Ge 2.70-2.75
Ge 0.9218 0.3928 0.7513  2 Pt 2.55-2.60, 2 Ge 2.70-2.75
Ge 0.8928 0.4218 0.2513  2 Pt 2.55-2.60, 2 Ge 2.70-2.74
Ge 0.2513 0.8928 0.4218  2 Pt 2.55-2.60, 2 Ge 2.70-2.74
Ge 0.4218 0.2513 0.8928  2 Pt 2.55-2.60, 2 Ge 2.70-2.74
Ge 0.0052 0.7493 0.6398  2 Ge 2.55-2.66, 2 Pt 2.59-2.62
Ge 0.6398 0.0052 0.7493  2 Ge 2.55-2.66, 2 Pt 2.59-2.62
Ge 0.7493 0.6398 0.0052  2 Ge 2.55-2.66, 2 Pt 2.59-2.62
Ge 0.1398 0.2494 0.5052  2 Ge 2.55-2.66, 2 Pt 2.59-2.62
Ge 0.5052 0.1398 0.2494  2 Ge 2.55-2.66, 2 Pt 2.59-2.62
Ge 0.2494 0.5052 0.1398  2 Ge 2.55-2.66, 2 Pt 2.59-2.62
Pt 0.4981 0.4981 0.4981  6 Ge 2.56-2.60
Pt 0.9981 0.9981 0.9981  6 Ge 2.56-2.60
Pt 0.0001 0.4971 0.5034  6 Ge 2.55-2.62
Pt 0.5034 0.0001 0.4971  6 Ge 2.55-2.62
Pt 0.4971 0.5034 0.0001  6 Ge 2.55-2.62
Pt 0.0035 0.9971 0.5001  6 Ge 2.55-2.62
Pt 0.5001 0.0035 0.9971  6 Ge 2.55-2.62
Pt 0.9971 0.5001 0.0035  6 Ge 2.55-2.62

Calculated values
total magnetic moment: 0.00 μB/f.u.
mass density: 8.72 Mg/m³
space-group type: R3c (161)
ΔE_f: -0.53 eV/atom

=====

DFT (PBE) results for a relaxed BeOsW2 crystal.

abc: 4.7121 6.0352 2.7740
angles: 61.85 90.45 120.10
With the nearest neighbours (Å) after each atom.
Sites, in units of the cell vectors:
Be 0.5000 0.5000 0.0000  2 Os 2.66, 8 W 2.72-2.74, 2 Be 2.77
Os 0.5000 0.0000 0.5000  2 Be 2.66, 8 W 2.72-2.74, 2 Os 2.77
W 0.0000 0.0000 0.0000  4 W 2.66-2.77, 4 Os 2.72-2.74, 4 Be 2.72-2.74
W 0.0000 0.5000 0.5000  4 W 2.66-2.77, 4 Be 2.72-2.74, 4 Os 2.72-2.74

Calculated values
total magnetic moment: 0.00 μB/f.u.
mass density: 16.40 Mg/m³
space-group type: C2/m (12)
ΔE_f: 0.22 eV/atom

=====

Which of these has the lowest mass density? RbCa3Ge

=====

Which formula does entry 7 have? RbCa3Ge

=====

Among the records above, which one has the highest mass density? BeOsW2

=====

What is the mass density in the seventh record? 2.17 Mg/m³